The following is a PBE calculation of a relaxed structure of Dy4Er3Zr, from the Alexandria database.

Calculated values
Its density of states at the Fermi level is 28.498 states/eV/cell. The value obtained for the formation energy is 0.040 eV/atom. The calculation puts the energy above the lowest structure with this stoichiometry at 0 meV/atom.

abc: 6.141 7.125 11.049
angles: 90.00 90.00 90.00
Positions (direct):
1 Dy 0.147 0.872 0.000
2 Dy 0.644 0.133 0.000
3 Dy 0.987 0.130 0.244
4 Dy 0.487 0.870 0.256
5 Dy 0.144 0.867 0.500
6 Dy 0.647 0.128 0.500
7 Dy 0.487 0.870 0.744
8 Dy 0.987 0.130 0.756
9 Er 0.648 0.616 0.000
10 Er 0.976 0.620 0.248
11 Er 0.476 0.380 0.252
12 Er 0.148 0.384 0.500
13 Er 0.476 0.380 0.748
14 Er 0.976 0.620 0.752
15 Zr 0.151 0.377 0.000
16 Zr 0.651 0.623 0.500